Entry 1:
{"formula": "MnCuP2", "functional": "PBE", "state": "optimized geometry", "crystal_system": "tetragonal", "total_magnetization_mub_per_cell": 2.343, "volume_a3_per_cell": 59.53, "e_tot_ev_per_atom": -5.829, "dos_at_fermi_per_ev_fu": 2.56, "cell": [[2.561, 0.038, 0.000], [-0.033, 2.561, 0.000], [0.000, 0.000, 9.076]], "species": ["Cu", "Mn", "P", "P"], "fractional_positions": [[0.000, 0.000, 0.522], [0.500, 0.500, 0.737], [0.000, 0.000, 0.920], [0.500, 0.500, 0.320]]}

Entry 2:
{"formula": "YGa6Cu12", "functional": "PBE", "state": "optimized geometry", "crystal_system": "trigonal", "total_magnetization_mub_per_cell": 0.000, "volume_a3_per_cell": 283.78, "e_tot_ev_per_atom": -3.934, "dos_at_fermi_per_ev_fu": 3.68, "cell": [[6.833, 0.012, 0.016], [-1.683, 6.622, 0.016], [-1.683, -2.167, 6.258]], "species": ["Y", "Ga", "Ga", "Ga", "Ga", "Ga", "Ga", "Cu", "Cu", "Cu", "Cu", "Cu", "Cu", "Cu", "Cu", "Cu", "Cu", "Cu", "Cu"], "fractional_positions": [[0.000, 0.000, 0.000], [0.704, 0.281, 0.281], [0.281, 0.281, 0.704], [0.281, 0.704, 0.281], [0.719, 0.719, 0.296], [0.296, 0.719, 0.719], [0.719, 0.296, 0.719], [0.888, 0.112, 0.500], [0.870, 0.622, 0.622], [0.622, 0.622, 0.870], [0.378, 0.130, 0.378], [0.378, 0.378, 0.130], [0.130, 0.378, 0.378], [0.112, 0.500, 0.888], [0.500, 0.888, 0.112], [0.112, 0.888, 0.500], [0.888, 0.500, 0.112], [0.500, 0.112, 0.888], [0.622, 0.870, 0.622]]}

Entry 3:
{"formula": "Tb2Ga2Hg3", "functional": "PBE", "state": "optimized geometry", "crystal_system": "orthorhombic", "total_magnetization_mub_per_cell": 0.000, "volume_a3_per_cell": 163.20, "e_tot_ev_per_atom": -2.716, "dos_at_fermi_per_ev_fu": 2.26, "cell": [[3.646, 0.000, 0.000], [0.000, 4.227, 0.000], [0.000, -2.114, 10.589]], "species": ["Tb", "Tb", "Ga", "Ga", "Hg", "Hg", "Hg"], "fractional_positions": [[0.000, 0.840, 0.680], [0.000, 0.160, 0.320], [0.500, 0.717, 0.434], [0.500, 0.283, 0.566], [0.500, 0.575, 0.150], [0.500, 0.425, 0.850], [0.000, 0.000, 0.000]]}

Entry 4:
{"formula": "Na2MnCu", "functional": "PBE", "state": "optimized geometry", "crystal_system": "cubic", "polymorph_energy_ev_per_atom": 0.0165, "total_magnetization_mub_per_cell": 4.381, "volume_a3_per_cell": 85.45, "e_tot_ev_per_atom": -3.273, "dos_at_fermi_per_ev_fu": 3.28, "cell": [[0.000, 3.496, 3.496], [3.496, 0.000, 3.496], [3.496, 3.496, 0.000]], "species": ["Na", "Na", "Mn", "Cu"], "fractional_positions": [[0.250, 0.250, 0.250], [0.750, 0.750, 0.750], [0.000, 0.000, 0.000], [0.500, 0.500, 0.500]]}